--- one ---
A geometry-optimized Al8V5 structure. Source: the Alexandria database, functional PBE.

extended XYZ file:
```
26
Lattice="4.5706 -6.5670 0.0000 4.5706 6.5670 0.0000 -4.4631 0.0000 6.5490" Properties=species:S:1:pos:R:3 pbc="T T T"
Al 0.0000 0.0000 0.0000
Al -0.3439 4.2410 4.9313
Al -1.6925 0.0000 2.6014
Al -2.0398 1.7186 4.9055
Al 1.4209 2.3346 0.8762
Al -2.0398 -1.7186 4.9055
Al 1.3592 2.2901 4.3357
Al 0.9577 0.0000 2.6066
Al 3.7665 3.8678 2.5129
Al 1.4209 -2.3346 0.8762
Al 0.0994 0.0000 5.3157
Al 1.3592 -2.2901 4.3357
Al 6.9254 1.7556 0.2986
Al -0.3439 -4.2410 4.9313
Al 3.7665 -3.8678 2.5129
Al 6.9254 -1.7556 0.2986
V 4.2016 2.2388 0.2906
V 2.5744 0.0000 0.4296
V 3.2476 1.2981 2.6368
V 3.2476 -1.2981 2.6368
V 4.2016 -2.2388 0.2906
V 2.6949 0.0000 4.7972
V 5.1389 0.0000 1.3283
V 5.7633 2.1767 2.6559
V 5.1966 0.0000 3.9712
V 5.7633 -2.1767 2.6559
```

Its space-group type is Cm, No. 8.


--- two ---
A geometry-optimized Al8V5 structure. Source: the Alexandria database, functional PBE.

extended XYZ file:
```
26
Lattice="-4.5985 4.5985 4.5985 4.5985 -4.5985 4.5985 4.5985 4.5985 -4.5985" Properties=species:S:1:pos:R:3 pbc="T T T"
Al 3.5754 3.5754 -3.5754
Al 4.3674 1.6703 -1.6703
Al 4.3674 -1.6703 1.6703
Al 3.5754 -3.5754 3.5754
Al 1.0232 1.0232 1.0232
Al 1.6703 4.3674 -1.6703
Al 1.6703 -1.6703 4.3674
Al 2.9282 2.9282 0.2311
Al 2.9282 0.2311 2.9282
Al 4.8296 1.6703 1.6703
Al 0.2311 2.9282 2.9282
Al -1.6703 4.3674 1.6703
Al -1.6703 1.6703 4.3674
Al 1.6703 4.8296 1.6703
Al 1.6703 1.6703 4.8296
Al -3.5754 3.5754 3.5754
V 1.5950 1.5950 -1.5950
V 1.5950 -1.5950 1.5950
V 3.1876 0.0000 0.0000
V 6.0094 0.0000 0.0000
V -1.5950 1.5950 1.5950
V 0.0000 3.1876 0.0000
V 0.0000 0.0000 3.1876
V 0.0000 6.0094 0.0000
V 0.0000 0.0000 6.0094
V 3.0035 3.0035 3.0035
```

Its space-group type is I-43m, No. 217.


Which one is most stable, and which one is least stable? one is the most stable of them, while two is the least stable.


--- one ---
A geometry-optimized Al5V structure. Source: the Alexandria database, functional PBE.

extended XYZ file:
```
12
Lattice="3.8682 0.0000 0.0000 0.0000 12.4854 0.0000 0.0000 0.0000 3.8339" Properties=species:S:1:pos:R:3 pbc="T T T"
Al 0.0000 0.0000 0.0000
Al 0.0000 1.9870 1.9169
Al 0.0000 4.1792 0.0000
Al 0.0000 8.3062 0.0000
Al 0.0000 10.4984 1.9169
Al 1.9341 2.0635 0.0000
Al 1.9341 4.2557 1.9169
Al 1.9341 6.2427 0.0000
Al 1.9341 8.2297 1.9169
Al 1.9341 10.4219 0.0000
V 0.0000 6.2427 1.9169
V 1.9341 0.0000 1.9169
```

Its space-group type is Cmmm, No. 65.


--- two ---
A geometry-optimized Al5V structure. Source: the Alexandria database, functional PBE.

extended XYZ file:
```
12
Lattice="1.4256 -5.1653 0.0000 1.4256 5.1653 0.0000 0.0000 0.0000 13.2143" Properties=species:S:1:pos:R:3 pbc="T T T"
Al 1.4256 4.6933 7.9158
Al 1.4256 4.6933 11.9057
Al 1.4256 2.9063 1.0840
Al 1.4256 2.9063 5.5232
Al 1.4256 1.2138 9.9107
Al 1.4256 -1.2138 3.3036
Al 1.4256 -2.9063 7.6911
Al 1.4256 -2.9063 12.1303
Al 1.4256 -4.6933 1.3087
Al 1.4256 -4.6933 5.2985
V 1.4256 1.5242 3.3036
V 1.4256 -1.5242 9.9107
```

Its space-group type is Cmcm, No. 63.


Which one is most stable, and which one is least stable? one is the most stable of them, while two is the least stable.


--- one ---
A geometry-optimized Al4V structure. Source: the Alexandria database, functional PBE.

extended XYZ file:
```
5
Lattice="4.8521 0.0000 0.0000 0.0000 4.8521 0.0000 0.0000 0.0000 4.8521" Properties=species:S:1:pos:R:3 pbc="T T T"
Al 0.0000 0.0000 0.0000
Al 0.0000 2.4261 2.4261
Al 2.4261 0.0000 2.4261
Al 2.4261 2.4261 0.0000
V 2.4261 2.4261 2.4261
```

Its space-group type is Pm-3m, No. 221.


--- two ---
A geometry-optimized Al4V structure. Source: the Alexandria database, functional PBE.

extended XYZ file:
```
10
Lattice="5.0957 0.0000 0.0000 0.0000 7.7918 0.0000 -1.9134 0.0000 4.1401" Properties=species:S:1:pos:R:3 pbc="T T T"
Al 0.7234 1.2265 0.3166
Al -0.2333 6.5653 2.3867
Al 0.1490 3.1348 2.2500
Al 1.1057 4.6570 0.1799
Al 2.0766 3.1348 3.9602
Al 3.0333 4.6570 1.8901
Al 3.4156 1.2265 1.7534
Al 2.4590 6.5653 3.8235
V 1.1128 0.8063 3.1051
V 2.0695 6.9855 1.0350
```

Its space-group type is P2/c, No. 13.


--- three ---
A geometry-optimized Al4V structure. Source: the Alexandria database, functional PBE.

extended XYZ file:
```
10
Lattice="5.1003 0.0000 0.0000 0.0000 5.1003 0.0000 0.0000 0.0000 7.5519" Properties=species:S:1:pos:R:3 pbc="T T T"
Al 0.0000 0.0000 1.2056
Al 0.0000 0.0000 6.3464
Al 0.0000 2.5502 1.8880
Al 0.0000 2.5502 5.6640
Al 2.5502 0.0000 1.8880
Al 2.5502 0.0000 5.6640
Al 2.5502 2.5502 2.5704
Al 2.5502 2.5502 4.9815
V 0.0000 0.0000 3.7760
V 2.5502 2.5502 0.0000
```

Its space-group type is I4/mmm, No. 139.


Which one is most stable, and which one is least stable? two is the most stable of them, while one is the least stable.


--- one ---
A geometry-optimized Al6V structure. Source: the Alexandria database, functional PBE.

extended XYZ file:
```
7
Lattice="4.8570 0.0000 0.0000 -0.7497 4.8016 0.0000 -0.7995 -0.9371 4.7140" Properties=species:S:1:pos:R:3 pbc="T T T"
Al 0.0026 1.1542 0.6847
Al 0.1322 3.7008 2.0453
Al 0.8129 1.4005 3.4520
Al 2.4949 2.4640 1.2620
Al 3.1756 0.1638 2.6687
Al 3.3051 2.7104 4.0293
V 2.4285 0.0000 0.0000
```

Its space-group type is P-1, No. 2.


--- two ---
A geometry-optimized Al6V structure. Source: the Alexandria database, functional PBE.

extended XYZ file:
```
14
Lattice="7.2254 0.0000 0.0000 0.0000 7.2254 0.0000 0.0000 0.0000 7.2254" Properties=species:S:1:pos:R:3 pbc="T T T"
Al 0.0000 1.8063 3.6127
Al 0.0000 3.6127 1.8063
Al 0.0000 3.6127 5.4190
Al 0.0000 5.4190 3.6127
Al 1.8063 0.0000 3.6127
Al 1.8063 3.6127 0.0000
Al 3.6127 0.0000 1.8063
Al 3.6127 0.0000 5.4190
Al 3.6127 1.8063 0.0000
Al 3.6127 5.4190 0.0000
Al 5.4190 0.0000 3.6127
Al 5.4190 3.6127 0.0000
V 0.0000 0.0000 0.0000
V 3.6127 3.6127 3.6127
```

Its space-group type is Im-3m, No. 229.


Which one is most stable, and which one is least stable? one is the most stable of them, while two is the least stable.


--- one ---
A geometry-optimized AlVW structure. Source: the Alexandria database, functional PBE.

extended XYZ file:
```
6
Lattice="2.6989 0.0000 0.0000 0.8340 5.0709 0.0000 0.8085 1.4628 6.5376" Properties=species:S:1:pos:R:3 pbc="T T T"
Al 0.2242 0.7198 1.1842
Al 4.1172 5.8140 5.3533
V 1.3597 2.0382 3.2183
V 2.9818 4.4956 3.3193
W 2.1849 3.2440 5.4398
W 2.1566 3.2898 1.0977
```

Its space-group type is P-1, No. 2.


--- two ---
A geometry-optimized AlVW structure. Source: the Alexandria database, functional PBE.

extended XYZ file:
```
6
Lattice="3.2322 0.0000 0.0000 0.0000 3.2322 0.0000 0.0000 0.0000 8.6004" Properties=species:S:1:pos:R:3 pbc="T T T"
Al 0.0000 0.0000 0.0000
Al 1.6161 1.6161 4.3002
V 0.0000 0.0000 2.7954
V 1.6161 1.6161 7.0957
W 0.0000 0.0000 5.8325
W 1.6161 1.6161 1.5323
```

Its space-group type is I4mm, No. 107.


Which one is most stable, and which one is least stable? two is the most stable of them, while one is the least stable.


--- one ---
A geometry-optimized AlVW structure. Source: the Alexandria database, functional PBE.

extended XYZ file:
```
12
Lattice="3.2252 0.0000 0.0000 0.0000 12.7823 0.0000 0.0000 0.0000 4.3688" Properties=species:S:1:pos:R:3 pbc="T T T"
Al 0.0000 1.1498 1.0922
Al 0.0000 11.6325 3.2766
Al 1.6126 5.2413 3.2766
Al 1.6126 7.5410 1.0922
V 0.0000 5.4067 1.0922
V 0.0000 7.3756 3.2766
V 1.6126 0.9844 3.2766
V 1.6126 11.7979 1.0922
W 0.0000 3.0295 3.2766
W 0.0000 9.7528 1.0922
W 1.6126 3.3617 1.0922
W 1.6126 9.4207 3.2766
```

Its space-group type is Cmcm, No. 63.


--- two ---
A geometry-optimized AlVW structure. Source: the Alexandria database, functional PBE.

extended XYZ file:
```
3
Lattice="4.3747 0.0000 0.0000 -2.1873 3.7886 0.0000 0.0000 0.0000 2.6973" Properties=species:S:1:pos:R:3 pbc="T T T"
Al 0.0000 0.0000 0.0000
V 0.0000 2.5257 1.7639
W 2.1873 1.2629 1.0393
```

Its space-group type is P3m1, No. 156.


Which one is most stable, and which one is least stable? two is the most stable of them, while one is the least stable.


--- one ---
A geometry-optimized YAl2V2 structure. Source: the Alexandria database, functional PBE.

extended XYZ file:
```
10
Lattice="4.2491 0.0000 0.0000 0.0000 4.2491 0.0000 0.0000 0.0000 10.4251" Properties=species:S:1:pos:R:3 pbc="T T T"
Y 0.0000 0.0000 0.0000
Y 2.1245 2.1245 5.2126
Al 0.0000 2.1245 2.6063
Al 0.0000 2.1245 7.8189
Al 2.1245 0.0000 2.6063
Al 2.1245 0.0000 7.8189
V 0.0000 0.0000 4.2712
V 0.0000 0.0000 6.1539
V 2.1245 2.1245 0.9414
V 2.1245 2.1245 9.4838
```

Its space-group type is I4/mmm, No. 139.


--- two ---
A geometry-optimized YAl2V2 structure. Source: the Alexandria database, functional PBE.

extended XYZ file:
```
10
Lattice="7.8930 0.0000 0.0000 0.0000 7.8930 0.0000 0.0000 0.0000 2.7890" Properties=species:S:1:pos:R:3 pbc="T T T"
Y 0.0000 0.0000 0.0000
Y 3.9465 3.9465 0.0000
Al 1.4327 2.5138 1.3945
Al 2.5138 6.4603 1.3945
Al 5.3792 1.4327 1.3945
Al 6.4603 5.3792 1.3945
V 0.8454 4.7919 0.0000
V 3.1011 0.8454 0.0000
V 4.7919 7.0476 0.0000
V 7.0476 3.1011 0.0000
```

Its space-group type is P4/mbm, No. 127.


--- three ---
A geometry-optimized YAl2V2 structure. Source: the Alexandria database, functional PBE.

extended XYZ file:
```
10
Lattice="7.5041 0.0000 0.0000 0.0000 7.5041 0.0000 0.0000 0.0000 3.1129" Properties=species:S:1:pos:R:3 pbc="T T T"
Y 0.0000 0.0000 0.0000
Y 3.7521 3.7521 0.0000
Al 0.9127 2.8394 0.0000
Al 2.8394 6.5914 0.0000
Al 4.6648 0.9127 0.0000
Al 6.5914 4.6648 0.0000
V 1.2873 5.0394 1.5565
V 2.4647 1.2873 1.5565
V 5.0394 6.2168 1.5565
V 6.2168 2.4647 1.5565
```

Its space-group type is P4/mbm, No. 127.


Which one is most stable, and which one is least stable? two is the most stable of them, while one is the least stable.


--- one ---
A geometry-optimized AlV3Zn structure. Source: the Alexandria database, functional PBE.

extended XYZ file:
```
5
Lattice="4.4428 0.0000 0.0000 0.0000 4.4428 0.0000 0.0000 0.0000 4.4428" Properties=species:S:1:pos:R:3 pbc="T T T"
Al 0.0000 0.0000 0.0000
V 0.0000 2.2214 2.2214
V 2.2214 0.0000 2.2214
V 2.2214 2.2214 0.0000
Zn 2.2214 2.2214 2.2214
```

Its space-group type is Pm-3m, No. 221.


--- two ---
A geometry-optimized AlV3Zn structure. Source: the Alexandria database, functional PBE.

extended XYZ file:
```
10
Lattice="6.6593 -2.2804 0.0000 6.6593 2.2804 0.0000 -1.9793 0.0000 4.7488" Properties=species:S:1:pos:R:3 pbc="T T T"
Al -0.1346 0.0000 1.3388
Al 11.4740 0.0000 3.4100
V 2.3400 1.1402 2.3744
V 4.5780 0.0000 1.9384
V 3.6066 0.0000 4.2720
V 2.3400 -1.1402 2.3744
V 7.7328 0.0000 0.4768
V 6.7613 0.0000 2.8104
Zn 0.7433 0.0000 4.4962
Zn 10.5961 0.0000 0.2526
```

Its space-group type is C2/m, No. 12.


Which one is most stable, and which one is least stable? two is the most stable of them, while one is the least stable.


--- one ---
A geometry-optimized Al3VZn structure. Source: the Alexandria database, functional PBE.

extended XYZ file:
```
5
Lattice="4.6433 0.0000 0.0000 0.0000 4.6433 0.0000 0.0000 0.0000 4.6433" Properties=species:S:1:pos:R:3 pbc="T T T"
Al 0.0000 0.0000 2.3216
Al 0.0000 2.3216 0.0000
Al 2.3216 0.0000 0.0000
V 2.3216 2.3216 2.3216
Zn 0.0000 0.0000 0.0000
```

Its space-group type is Pm-3m, No. 221.


--- two ---
A geometry-optimized Al3VZn structure. Source: the Alexandria database, functional PBE.

extended XYZ file:
```
5
Lattice="4.8855 0.0000 0.0000 0.0000 4.8855 0.0000 0.0000 0.0000 4.8855" Properties=species:S:1:pos:R:3 pbc="T T T"
Al 0.0000 0.0000 2.4428
Al 0.0000 2.4428 0.0000
Al 2.4428 0.0000 0.0000
V 0.0000 0.0000 0.0000
Zn 2.4428 2.4428 2.4428
```

Its space-group type is Pm-3m, No. 221.


--- three ---
A geometry-optimized Al3VZn structure. Source: the Alexandria database, functional PBE.

extended XYZ file:
```
20
Lattice="4.4719 -4.9936 0.0000 4.4719 4.9936 0.0000 -2.4604 0.0000 7.2269" Properties=species:S:1:pos:R:3 pbc="T T T"
Al 1.9924 3.6475 6.6406
Al 0.1781 0.6714 5.1180
Al 3.2609 3.6475 4.1997
Al 1.4083 -0.6714 1.5045
Al 3.3886 0.7700 0.4073
Al 2.1584 -0.7700 4.0208
Al 4.3250 0.7700 3.2061
Al 3.0948 -0.7700 6.8196
Al 5.0751 0.6714 5.7224
Al 3.2226 -3.6475 3.0272
Al 6.3054 -0.6714 2.1089
Al 4.4911 -3.6475 0.5863
V 1.6538 1.7125 2.8943
V 0.4236 -1.7125 6.5077
V 6.0598 1.7125 0.7192
V 4.8296 -1.7125 4.3326
Zn 3.8568 2.7743 1.8067
Zn 2.6266 1.5445 5.4202
Zn 3.8568 -1.5445 1.8067
Zn 2.6266 -2.7743 5.4202
```

Its space-group type is C2/c, No. 15.


Which one is most stable, and which one is least stable? three is the most stable of them, while one is the least stable.


--- one ---
A geometry-optimized ZrAl2V2 structure. Source: the Alexandria database, functional PBE.

extended XYZ file:
```
10
Lattice="7.7105 0.0000 0.0000 0.0000 7.7105 0.0000 0.0000 0.0000 2.7440" Properties=species:S:1:pos:R:3 pbc="T T T"
Zr 0.0000 0.0000 0.0000
Zr 3.8553 3.8553 0.0000
Al 1.4132 2.4421 1.3720
Al 2.4421 6.2973 1.3720
Al 5.2684 1.4132 1.3720
Al 6.2973 5.2684 1.3720
V 0.8390 4.6943 0.0000
V 3.0162 0.8390 0.0000
V 4.6943 6.8715 0.0000
V 6.8715 3.0162 0.0000
```

Its space-group type is P4/mbm, No. 127.


--- two ---
A geometry-optimized ZrAl2V2 structure. Source: the Alexandria database, functional PBE.

extended XYZ file:
```
10
Lattice="4.0171 0.0000 0.0000 0.0000 4.0171 0.0000 0.0000 0.0000 10.7242" Properties=species:S:1:pos:R:3 pbc="T T T"
Zr 0.0000 0.0000 0.0000
Zr 2.0086 2.0086 5.3621
Al 0.0000 2.0086 2.6810
Al 0.0000 2.0086 8.0431
Al 2.0086 0.0000 2.6810
Al 2.0086 0.0000 8.0431
V 0.0000 0.0000 4.3987
V 0.0000 0.0000 6.3255
V 2.0086 2.0086 0.9634
V 2.0086 2.0086 9.7608
```

Its space-group type is I4/mmm, No. 139.


Which one is most stable, and which one is least stable? one is the most stable of them, while two is the least stable.